Ca4PrMg2 | PBE-GGA | relaxed

abc: 5.832 5.832 8.891
angles: 70.85 70.85 60.00
Fractional positions:
Ca: 0.778 0.778 0.665
Ca: 0.928 0.928 0.215
Ca: 0.222 0.222 0.335
Ca: 0.072 0.072 0.785
Pr: 0.500 0.500 0.500
Mg: 0.638 0.638 0.085
Mg: 0.362 0.362 0.915

Values from the calculation:
The uncorrected energy comes out at -2.2352 eV/atom. For the calculated formation energy, the calculation gives 0.33 eV per formula unit. For the total magnetization, the calculation gives 0.00 μB per formula unit. Its density of states at the Fermi level is 7.69 states/eV per cell. The space-group type is R-3m (166).

TlAg2TeBr8 | PBE-GGA | relaxed

abc: 6.746 6.935 8.842
angles: 85.16 85.04 93.25
Fractional positions:
Tl: 0.000 0.000 0.500
Ag: 0.452 0.452 0.730
Ag: 0.548 0.548 0.270
Te: 0.000 0.000 0.000
Br: 0.201 0.804 0.217
Br: 0.730 0.683 0.003
Br: 0.765 0.158 0.221
Br: 0.799 0.196 0.783
Br: 0.270 0.317 0.997
Br: 0.235 0.842 0.779
Br: 0.695 0.674 0.526
Br: 0.305 0.326 0.474

Values from the calculation:
For the energy relative to the elements, uncorrected, the calculation gives -0.37 eV per atom. The uncorrected energy comes out at -2.4216 eV/atom. For the total magnetization, the calculation gives 0.00 μB per formula unit. Its density of states at the Fermi level is 2.93 states/eV per cell. The space-group type is P-1 (2).

Gd4MgRu | PBE-GGA | relaxed

abc: 9.764 9.764 9.764
angles: 60.00 60.00 60.00
Each line ends with the local moment (μB).
Fractional positions:
Gd: 0.655 0.655 0.034  7.08
Gd: 0.655 0.655 0.655  7.08
Gd: 0.655 0.034 0.655  7.08
Gd: 0.034 0.655 0.655  7.08
Gd: 0.188 0.812 0.188  -7.04
Gd: 0.812 0.188 0.812  -7.04
Gd: 0.812 0.188 0.188  -7.04
Gd: 0.188 0.812 0.812  -7.04
Gd: 0.812 0.812 0.188  -7.04
Gd: 0.188 0.188 0.812  -7.04
Gd: 0.062 0.438 0.062  7.21
Gd: 0.438 0.062 0.438  7.21
Gd: 0.438 0.062 0.062  7.21
Gd: 0.062 0.438 0.438  7.21
Gd: 0.438 0.438 0.062  7.21
Gd: 0.062 0.062 0.438  7.21
Mg: 0.421 0.421 0.738  0.00
Mg: 0.421 0.421 0.421  0.00
Mg: 0.421 0.738 0.421  0.00
Mg: 0.738 0.421 0.421  0.00
Ru: 0.861 0.861 0.416  -0.02
Ru: 0.861 0.861 0.861  -0.02
Ru: 0.861 0.416 0.861  -0.02
Ru: 0.416 0.861 0.861  -0.02

Values from the calculation:
The uncorrected energy comes out at -11.4397 eV/atom. For the calculated formation energy, the calculation gives -1.44 eV per formula unit. For the total magnetization, the calculation gives 7.71 μB per formula unit. Its density of states at the Fermi level is 25.05 states/eV per cell. The space-group type is F-43m (216).

Pm2As2HRh2 | PBE-GGA | relaxed

abc: 4.185 5.828 6.008
angles: 72.98 69.62 68.96
Fractional positions:
Pm: 0.553 0.189 0.705
Pm: 0.447 0.811 0.295
As: 0.173 0.355 0.299
As: 0.827 0.645 0.701
H: 0.000 0.000 0.000
Rh: 0.194 0.692 0.920
Rh: 0.806 0.308 0.080

Values from the calculation:
The uncorrected energy comes out at -6.1784 eV/atom. For the total magnetization, the calculation gives 0.00 μB per formula unit. Its density of states at the Fermi level is 4.35 states/eV per cell. The space-group type is C2/m (12).